Run w
# NbZn2Rh2

NbZn2Rh2 after structural relaxation (PBE, the Alexandria database).

Geometry as CIF:
```
data_NbZn2Rh2
_space_group_name_H-M_alt 'P 1'
_space_group_IT_number 1
_cell_length_a 7.2010
_cell_length_b 7.2010
_cell_length_c 2.8732
_cell_angle_alpha 90.00
_cell_angle_beta 90.00
_cell_angle_gamma 90.00
loop_
_space_group_symop_operation_xyz
'x,y,z'
loop_
_atom_site_label
_atom_site_type_symbol
_atom_site_fract_x
_atom_site_fract_y
_atom_site_fract_z
Nb1 Nb 0.0000 0.0000 0.0000
Nb2 Nb 0.5000 0.5000 0.0000
Rh1 Rh 0.1805 0.6805 0.5000
Rh2 Rh 0.6805 0.8195 0.5000
Rh3 Rh 0.8195 0.3195 0.5000
Rh4 Rh 0.3195 0.1805 0.5000
Zn1 Zn 0.3810 0.8810 0.0000
Zn2 Zn 0.8810 0.6190 0.0000
Zn3 Zn 0.6190 0.1190 0.0000
Zn4 Zn 0.1190 0.3810 0.0000
```

Run x
# NbZn2Rh2

NbZn2Rh2 after structural relaxation (PBE, the Alexandria database).

Geometry as CIF:
```
data_NbZn2Rh2
_space_group_name_H-M_alt 'P 1'
_space_group_IT_number 1
_cell_length_a 2.8364
_cell_length_b 3.7831
_cell_length_c 7.2684
_cell_angle_alpha 74.92
_cell_angle_beta 90.00
_cell_angle_gamma 90.00
loop_
_space_group_symop_operation_xyz
'x,y,z'
loop_
_atom_site_label
_atom_site_type_symbol
_atom_site_fract_x
_atom_site_fract_y
_atom_site_fract_z
Nb1 Nb 0.0000 0.0000 0.0000
Zn1 Zn 0.0000 0.1965 0.6070
Zn2 Zn 0.0000 0.8035 0.3930
Rh1 Rh 0.5000 0.3927 0.2145
Rh2 Rh 0.5000 0.6073 0.7855
```

Run y
# NbZn2Rh2

NbZn2Rh2 after structural relaxation (PBE, the Alexandria database).

Geometry as CIF:
```
data_NbZn2Rh2
_space_group_name_H-M_alt 'P 1'
_space_group_IT_number 1
_cell_length_a 7.1215
_cell_length_b 7.1215
_cell_length_c 3.0023
_cell_angle_alpha 90.00
_cell_angle_beta 90.00
_cell_angle_gamma 90.00
loop_
_space_group_symop_operation_xyz
'x,y,z'
loop_
_atom_site_label
_atom_site_type_symbol
_atom_site_fract_x
_atom_site_fract_y
_atom_site_fract_z
Nb1 Nb 0.0000 0.0000 0.0000
Nb2 Nb 0.5000 0.5000 0.0000
Rh1 Rh 0.3560 0.8560 0.0000
Rh2 Rh 0.8560 0.6440 0.0000
Rh3 Rh 0.6440 0.1440 0.0000
Rh4 Rh 0.1440 0.3560 0.0000
Zn1 Zn 0.1537 0.6537 0.5000
Zn2 Zn 0.6537 0.8463 0.5000
Zn3 Zn 0.8463 0.3463 0.5000
Zn4 Zn 0.3463 0.1537 0.5000
```

Computed stability ranking, most favorable first: run x, run w, run y

Run w
# Zr2Nb2Rh

Zr2Nb2Rh after structural relaxation (PBE, the Alexandria database).

Geometry as CIF:
```
data_Zr2Nb2Rh
_space_group_name_H-M_alt 'P 1'
_space_group_IT_number 1
_cell_length_a 6.7274
_cell_length_b 6.7274
_cell_length_c 4.4839
_cell_angle_alpha 90.00
_cell_angle_beta 90.00
_cell_angle_gamma 90.00
loop_
_space_group_symop_operation_xyz
'x,y,z'
loop_
_atom_site_label
_atom_site_type_symbol
_atom_site_fract_x
_atom_site_fract_y
_atom_site_fract_z
Nb1 Nb 0.3566 0.8566 0.0000
Nb2 Nb 0.8566 0.6434 0.0000
Nb3 Nb 0.6434 0.1434 0.0000
Nb4 Nb 0.1434 0.3566 0.0000
Rh1 Rh 0.0000 0.0000 0.0000
Rh2 Rh 0.5000 0.5000 0.0000
Zr1 Zr 0.1687 0.6687 0.5000
Zr2 Zr 0.6687 0.8313 0.5000
Zr3 Zr 0.8313 0.3313 0.5000
Zr4 Zr 0.3313 0.1687 0.5000
```

Run x
# Zr2Nb2Rh

Zr2Nb2Rh after structural relaxation (PBE, the Alexandria database).

Geometry as CIF:
```
data_Zr2Nb2Rh
_space_group_name_H-M_alt 'P 1'
_space_group_IT_number 1
_cell_length_a 3.6036
_cell_length_b 3.6036
_cell_length_c 8.4766
_cell_angle_alpha 77.73
_cell_angle_beta 77.73
_cell_angle_gamma 90.00
loop_
_space_group_symop_operation_xyz
'x,y,z'
loop_
_atom_site_label
_atom_site_type_symbol
_atom_site_fract_x
_atom_site_fract_y
_atom_site_fract_z
Nb1 Nb 0.7500 0.2500 0.5000
Nb2 Nb 0.2500 0.7500 0.5000
Rh1 Rh 0.0000 0.0000 0.0000
Zr1 Zr 0.4082 0.4082 0.1836
Zr2 Zr 0.5918 0.5918 0.8164
```

Computed stability ranking, most favorable first: run w, run x

Run w
# Zr2Nb2Rh

Zr2Nb2Rh after structural relaxation (PBE, the Alexandria database).

Geometry as CIF:
```
data_Zr2Nb2Rh
_space_group_name_H-M_alt 'P 1'
_space_group_IT_number 1
_cell_length_a 6.8568
_cell_length_b 6.8568
_cell_length_c 4.3694
_cell_angle_alpha 90.00
_cell_angle_beta 90.00
_cell_angle_gamma 90.00
loop_
_space_group_symop_operation_xyz
'x,y,z'
loop_
_atom_site_label
_atom_site_type_symbol
_atom_site_fract_x
_atom_site_fract_y
_atom_site_fract_z
Nb1 Nb 0.1480 0.6480 0.5000
Nb2 Nb 0.6480 0.8520 0.5000
Nb3 Nb 0.8520 0.3520 0.5000
Nb4 Nb 0.3520 0.1480 0.5000
Rh1 Rh 0.0000 0.0000 0.0000
Rh2 Rh 0.5000 0.5000 0.0000
Zr1 Zr 0.3429 0.8429 0.0000
Zr2 Zr 0.8429 0.6571 0.0000
Zr3 Zr 0.6571 0.1571 0.0000
Zr4 Zr 0.1571 0.3429 0.0000
```

Run x
# Zr2Nb2Rh

Zr2Nb2Rh after structural relaxation (PBE, the Alexandria database).

Geometry as CIF:
```
data_Zr2Nb2Rh
_space_group_name_H-M_alt 'P 1'
_space_group_IT_number 1
_cell_length_a 3.3581
_cell_length_b 3.3581
_cell_length_c 8.7258
_cell_angle_alpha 101.09
_cell_angle_beta 101.09
_cell_angle_gamma 90.00
loop_
_space_group_symop_operation_xyz
'x,y,z'
loop_
_atom_site_label
_atom_site_type_symbol
_atom_site_fract_x
_atom_site_fract_y
_atom_site_fract_z
Zr1 Zr 0.5971 0.5971 0.1941
Zr2 Zr 0.4029 0.4029 0.8059
Nb1 Nb 0.7948 0.7948 0.5896
Nb2 Nb 0.2052 0.2052 0.4104
Rh1 Rh 0.0000 0.0000 0.0000
```

Computed stability ranking, most favorable first: run x, run w

Run w
# ZrNb3Rh

ZrNb3Rh after structural relaxation (PBE, the Alexandria database).

Geometry as CIF:
```
data_ZrNb3Rh
_space_group_name_H-M_alt 'P 1'
_space_group_IT_number 1
_cell_length_a 4.8353
_cell_length_b 4.8353
_cell_length_c 4.8353
_cell_angle_alpha 90.00
_cell_angle_beta 90.00
_cell_angle_gamma 90.00
loop_
_space_group_symop_operation_xyz
'x,y,z'
loop_
_atom_site_label
_atom_site_type_symbol
_atom_site_fract_x
_atom_site_fract_y
_atom_site_fract_z
Nb1 Nb 0.0000 0.5000 0.0000
Nb2 Nb 0.0000 0.0000 0.5000
Nb3 Nb 0.5000 0.0000 0.0000
Rh1 Rh 0.0000 0.0000 0.0000
Zr1 Zr 0.5000 0.5000 0.5000
```

Run x
# ZrNb3Rh

ZrNb3Rh after structural relaxation (PBE, the Alexandria database).

Geometry as CIF:
```
data_ZrNb3Rh
_space_group_name_H-M_alt 'P 1'
_space_group_IT_number 1
_cell_length_a 4.8306
_cell_length_b 4.8306
_cell_length_c 4.8306
_cell_angle_alpha 90.00
_cell_angle_beta 90.00
_cell_angle_gamma 90.00
loop_
_space_group_symop_operation_xyz
'x,y,z'
loop_
_atom_site_label
_atom_site_type_symbol
_atom_site_fract_x
_atom_site_fract_y
_atom_site_fract_z
Nb1 Nb 0.0000 0.5000 0.0000
Nb2 Nb 0.0000 0.0000 0.5000
Nb3 Nb 0.5000 0.0000 0.0000
Rh1 Rh 0.5000 0.5000 0.5000
Zr1 Zr 0.0000 0.0000 0.0000
```

Computed stability ranking, most favorable first: run w, run x